Entry 1:
First-principles (GGA-PBE) data for a geometry-optimized TlHg2BiRh structure, as listed in Alexandria via LeMat-Bulk.

Summary:
energy of formation = 0.0801 eV per atom
calculated density = 10.4 g/cm³
electronic total energy = -0.20288 Ry/atom
space-group type = No. 123

```
TlHg2BiRh
1.0
5.321 0.000 0.000
0.000 5.321 0.000
0.000 0.000 5.196
Tl Hg Bi Rh
1 2 1 1
direct
0.000 0.000 0.000 Tl
0.000 0.500 0.500 Hg
0.500 0.000 0.500 Hg
0.500 0.500 0.000 Bi
0.500 0.500 0.500 Rh
```



Entry 2:
First-principles (GGA-PBE) data for a geometry-optimized ZnCrOs structure, as listed in Alexandria via LeMat-Bulk.

Summary:
polymorph energy (0 for the lowest one) = 0.085 eV per atom
energy of formation = 0.1706 eV per atom
calculated density = 12.7 g/cm³
electronic total energy = -0.52957 Ry/atom
space-group type = No. 12

```
ZnCrOs
1.0
9.214 0.000 0.000
0.000 2.819 0.000
-2.282 0.000 6.179
Zn Cr Os
4 4 4
direct
0.158 0.000 0.061 Zn
0.342 0.500 0.939 Zn
0.658 0.500 0.061 Zn
0.842 0.000 0.939 Zn
0.020 0.500 0.270 Cr
0.480 0.000 0.730 Cr
0.520 0.000 0.270 Cr
0.980 0.500 0.730 Cr
0.161 0.000 0.595 Os
0.339 0.500 0.405 Os
0.661 0.500 0.595 Os
0.839 0.000 0.405 Os
```



Entry 3:
First-principles (GGA-PBE) data for a geometry-optimized Ba2NaTl4Pb3 structure, as listed in Alexandria via LeMat-Bulk.

Summary:
energy of formation = -0.2260 eV per atom
calculated density = 8.1 g/cm³
electronic total energy = -0.20590 Ry/atom
space-group type = No. 115

```
Ba2NaTl4Pb3
1.0
4.991 0.000 0.000
0.000 4.991 0.000
0.000 0.000 14.334
Ba Na Tl Pb
2 1 4 3
direct
0.000 0.500 0.238 Ba
0.500 0.000 0.762 Ba
0.000 0.000 0.500 Na
0.000 0.000 0.000 Tl
0.000 0.500 0.638 Tl
0.500 0.000 0.362 Tl
0.500 0.500 0.000 Tl
0.000 0.500 0.855 Pb
0.500 0.000 0.145 Pb
0.500 0.500 0.500 Pb
```



Entry 4:
First-principles (GGA-PBE) data for a geometry-optimized TmSc2Si2Rh5 structure, as listed in Alexandria via LeMat-Bulk.

Summary:
calculated density = 8.4 g/cm³
E_form (uncorrected) = -1.0023 eV per atom
electronic total energy = -0.54948 Ry/atom
space-group type = No. 127

```
TmSc2Si2Rh5
1.0
9.649 0.000 0.000
0.000 9.649 0.000
0.000 0.000 3.510
Tm Sc Si Rh
2 4 4 10
direct
0.000 0.000 0.000 Tm
0.500 0.500 0.000 Tm
0.172 0.328 0.000 Sc
0.328 0.828 0.000 Sc
0.672 0.172 0.000 Sc
0.828 0.672 0.000 Sc
0.126 0.626 0.000 Si
0.374 0.126 0.000 Si
0.626 0.874 0.000 Si
0.874 0.374 0.000 Si
0.000 0.500 0.500 Rh
0.071 0.783 0.500 Rh
0.217 0.071 0.500 Rh
0.283 0.571 0.500 Rh
0.429 0.283 0.500 Rh
0.500 0.000 0.500 Rh
0.571 0.717 0.500 Rh
0.717 0.429 0.500 Rh
0.783 0.929 0.500 Rh
0.929 0.217 0.500 Rh
```



Entry 5:
First-principles (GGA-PBE) data for a geometry-optimized NaEuGa structure, as listed in Alexandria via LeMat-Bulk.

Summary:
polymorph energy (0 for the lowest one) = 0.033 eV per atom
energy of formation = -0.0842 eV per atom
calculated density = 4.8 g/cm³
electronic total energy = -0.36438 Ry/atom
space-group type = No. 187

```
NaEuGa
1.0
5.227 0.000 0.000
-2.613 4.526 0.000
0.000 0.000 3.571
Na Eu Ga
1 1 1
direct
0.000 0.000 0.000 Na
0.667 0.333 0.500 Eu
0.333 0.667 0.000 Ga
```



Entry 6:
First-principles (GGA-PBE) data for a geometry-optimized PuGe2Rh structure, as listed in Alexandria via LeMat-Bulk.

Summary:
energy of formation = -0.5810 eV per atom
calculated density = 10.7 g/cm³
electronic total energy = -0.61081 Ry/atom
space-group type = No. 62

```
PuGe2Rh
1.0
6.997 0.000 0.000
0.000 4.244 0.000
0.000 0.000 10.254
Pu Ge Rh
4 8 4
direct
0.171 0.250 0.136 Pu
0.329 0.750 0.636 Pu
0.671 0.250 0.364 Pu
0.829 0.750 0.864 Pu
0.123 0.250 0.826 Ge
0.215 0.250 0.432 Ge
0.285 0.750 0.932 Ge
0.377 0.750 0.326 Ge
0.623 0.250 0.674 Ge
0.715 0.250 0.068 Ge
0.785 0.750 0.568 Ge
0.877 0.750 0.174 Ge
0.020 0.750 0.392 Rh
0.480 0.250 0.892 Rh
0.520 0.750 0.108 Rh
0.980 0.250 0.608 Rh
```



Entry 7:
First-principles (GGA-PBE) data for a geometry-optimized NdHoCoPd structure, as listed in Alexandria via LeMat-Bulk.

Summary:
energy of formation = -0.3989 eV per atom
calculated density = 9.3 g/cm³
electronic total energy = -0.42703 Ry/atom
space-group type = No. 216

```
NdHoCoPd
1.0
6.967 0.000 0.000
0.000 6.967 0.000
0.000 0.000 6.967
Nd Ho Co Pd
4 4 4 4
direct
0.000 0.000 0.000 Nd
0.000 0.500 0.500 Nd
0.500 0.000 0.500 Nd
0.500 0.500 0.000 Nd
0.000 0.000 0.500 Ho
0.000 0.500 0.000 Ho
0.500 0.000 0.000 Ho
0.500 0.500 0.500 Ho
0.250 0.250 0.750 Co
0.250 0.750 0.250 Co
0.750 0.250 0.250 Co
0.750 0.750 0.750 Co
0.250 0.250 0.250 Pd
0.250 0.750 0.750 Pd
0.750 0.250 0.750 Pd
0.750 0.750 0.250 Pd
```



Entry 8:
First-principles (GGA-PBE) data for a geometry-optimized Na5H5Pd2 structure, as listed in Alexandria via LeMat-Bulk.

Summary:
calculated density = 3.4 g/cm³
electronic total energy = -0.21858 Ry/atom
space-group type = No. 12

```
Na5H5Pd2
1.0
5.417 -1.715 0.000
5.417 1.715 0.000
-2.034 0.000 8.832
Na H Pd
5 5 2
direct
0.000 0.000 0.000 Na
0.138 0.138 0.535 Na
0.251 0.251 0.844 Na
0.749 0.749 0.156 Na
0.862 0.862 0.465 Na
0.082 0.082 0.270 H
0.380 0.380 0.119 H
0.500 0.500 0.500 H
0.620 0.620 0.881 H
0.918 0.918 0.730 H
0.485 0.485 0.718 Pd
0.515 0.515 0.282 Pd
```



Entry 9:
First-principles (GGA-PBE) data for a geometry-optimized Y6GaFe2 structure, as listed in Alexandria via LeMat-Bulk.

Summary:
energy of formation = -0.1698 eV per atom
calculated density = 5.3 g/cm³
electronic total energy = -0.49216 Ry/atom
space-group type = No. 71

```
Y6GaFe2
1.0
-4.735 4.783 4.971
4.735 -4.783 4.971
4.735 4.783 -4.971
Y Ga Fe
12 2 4
direct
0.026 0.231 0.795 Y
0.185 0.284 0.469 Y
0.185 0.716 0.902 Y
0.315 0.019 0.703 Y
0.315 0.612 0.297 Y
0.435 0.231 0.205 Y
0.565 0.769 0.795 Y
0.685 0.388 0.703 Y
0.685 0.981 0.297 Y
0.815 0.284 0.098 Y
0.815 0.716 0.531 Y
0.974 0.769 0.205 Y
0.000 0.000 0.000 Ga
0.500 0.500 0.000 Ga
0.109 0.609 0.500 Fe
0.384 0.000 0.384 Fe
0.616 0.000 0.616 Fe
0.891 0.391 0.500 Fe
```



Entry 10:
First-principles (GGA-PBE) data for a geometry-optimized NpMnS structure, as listed in Alexandria via LeMat-Bulk.

Summary:
calculated density = 9.7 g/cm³
E_form (uncorrected) = -0.4785 eV per atom
electronic total energy = -0.67798 Ry/atom
space-group type = No. 63

```
NpMnS
1.0
3.692 0.000 0.000
0.000 15.166 0.000
0.000 0.000 3.959
Np Mn S
4 4 4
direct
0.000 0.126 0.250 Np
0.000 0.874 0.750 Np
0.500 0.374 0.750 Np
0.500 0.626 0.250 Np
0.000 0.464 0.250 Mn
0.000 0.536 0.750 Mn
0.500 0.036 0.750 Mn
0.500 0.964 0.250 Mn
0.000 0.316 0.250 S
0.000 0.684 0.750 S
0.500 0.184 0.750 S
0.500 0.816 0.250 S
```



Entry 11:
First-principles (GGA-PBE) data for a geometry-optimized CeErZnCo structure, as listed in Alexandria via LeMat-Bulk.

Summary:
energy of formation = -0.1665 eV per atom
calculated density = 8.7 g/cm³
electronic total energy = -0.35909 Ry/atom
space-group type = No. 216

```
CeErZnCo
1.0
6.914 0.000 0.000
0.000 6.914 0.000
0.000 0.000 6.914
Ce Er Zn Co
4 4 4 4
direct
0.000 0.000 0.000 Ce
0.000 0.500 0.500 Ce
0.500 0.000 0.500 Ce
0.500 0.500 0.000 Ce
0.000 0.000 0.500 Er
0.000 0.500 0.000 Er
0.500 0.000 0.000 Er
0.500 0.500 0.500 Er
0.250 0.250 0.250 Zn
0.250 0.750 0.750 Zn
0.750 0.250 0.750 Zn
0.750 0.750 0.250 Zn
0.250 0.250 0.750 Co
0.250 0.750 0.250 Co
0.750 0.250 0.250 Co
0.750 0.750 0.750 Co
```



Entry 12:
First-principles (GGA-PBE) data for a geometry-optimized Cs3HgO structure, as listed in Alexandria via LeMat-Bulk.

Summary:
polymorph energy (0 for the lowest one) = 0.014 eV per atom
calculated density = 4.5 g/cm³
E_form (uncorrected) = -0.6376 eV per atom
electronic total energy = -0.16182 Ry/atom
space-group type = No. 12

```
Cs3HgO
1.0
6.961 -4.019 0.000
6.961 4.019 0.000
-4.556 0.000 8.057
Cs Hg O
6 2 2
direct
0.075 0.075 0.220 Cs
0.075 0.571 0.220 Cs
0.429 0.925 0.780 Cs
0.571 0.075 0.220 Cs
0.925 0.429 0.780 Cs
0.925 0.925 0.780 Cs
0.435 0.435 0.807 Hg
0.565 0.565 0.193 Hg
0.168 0.168 0.002 O
0.832 0.832 0.998 O
```



Entry 13:
First-principles (GGA-PBE) data for a geometry-optimized LuTlRh2 structure, as listed in Alexandria via LeMat-Bulk.

Summary:
energy of formation = -0.6163 eV per atom
calculated density = 13.5 g/cm³
electronic total energy = -0.44201 Ry/atom
space-group type = No. 123

```
LuTlRh2
1.0
4.461 0.000 0.000
0.000 4.461 0.000
0.000 0.000 3.618
Lu Tl Rh
1 1 2
direct
0.000 0.000 0.000 Lu
0.500 0.500 0.000 Tl
0.000 0.500 0.500 Rh
0.500 0.000 0.500 Rh
```



Entry 14:
First-principles (GGA-PBE) data for a geometry-optimized TaV2W structure, as listed in Alexandria via LeMat-Bulk.

Summary:
energy of formation = 0.6843 eV per atom
calculated density = 11.8 g/cm³
electronic total energy = -0.74061 Ry/atom
space-group type = No. 122

```
TaV2W
1.0
6.985 0.000 0.000
0.000 6.985 0.000
0.000 0.000 5.400
Ta V W
4 8 4
direct
0.000 0.000 0.000 Ta
0.000 0.500 0.250 Ta
0.500 0.000 0.750 Ta
0.500 0.500 0.500 Ta
0.236 0.250 0.625 V
0.250 0.736 0.875 V
0.250 0.764 0.375 V
0.264 0.250 0.125 V
0.736 0.750 0.125 V
0.750 0.236 0.375 V
0.750 0.264 0.875 V
0.764 0.750 0.625 V
0.000 0.000 0.500 W
0.000 0.500 0.750 W
0.500 0.000 0.250 W
0.500 0.500 0.000 W
```



Entry 15:
First-principles (GGA-PBE) data for a geometry-optimized TaNbPtAu structure, as listed in Alexandria via LeMat-Bulk.

Summary:
energy of formation = -0.3320 eV per atom
calculated density = 15.8 g/cm³
electronic total energy = -0.59844 Ry/atom
space-group type = No. 99

```
TaNbPtAu
1.0
3.399 0.000 0.000
0.000 3.399 0.000
0.000 0.000 6.068
Ta Nb Pt Au
1 1 1 1
direct
0.000 0.000 0.000 Ta
0.500 0.500 0.283 Nb
0.500 0.500 0.787 Pt
0.000 0.000 0.522 Au
```



Entry 16:
First-principles (GGA-PBE) data for a geometry-optimized RbZrPdCl6 structure, as listed in Alexandria via LeMat-Bulk.

Summary:
calculated density = 2.9 g/cm³
E_form (uncorrected) = -1.4453 eV per atom
electronic total energy = -0.31683 Ry/atom
space-group type = No. 1

```
RbZrPdCl6
1.0
6.645 0.000 0.000
-2.374 6.221 0.000
-0.588 -0.812 6.979
Rb Zr Pd Cl
1 1 1 6
direct
0.000 0.000 0.000 Rb
0.611 0.387 0.499 Zr
0.265 0.734 0.500 Pd
0.309 0.443 0.284 Cl
0.321 0.104 0.648 Cl
0.557 0.686 0.716 Cl
0.616 0.118 0.248 Cl
0.882 0.377 0.746 Cl
0.893 0.679 0.351 Cl
```



Entry 17:
First-principles (GGA-PBE) data for a geometry-optimized YErCI structure, as listed in Alexandria via LeMat-Bulk.

Summary:
calculated density = 7.3 g/cm³
E_form (uncorrected) = -0.7448 eV per atom
electronic total energy = -0.45533 Ry/atom
space-group type = No. 160

```
YErCI
1.0
3.754 0.000 0.000
-1.877 3.251 0.000
0.000 0.000 22.157
Y Er C I
3 3 3 3
direct
0.000 0.000 0.000 Y
0.333 0.667 0.667 Y
0.667 0.333 0.333 Y
0.000 0.000 0.220 Er
0.333 0.667 0.887 Er
0.667 0.333 0.554 Er
0.000 0.000 0.606 C
0.333 0.667 0.273 C
0.667 0.333 0.940 C
0.000 0.000 0.778 I
0.333 0.667 0.444 I
0.667 0.333 0.111 I
```